1.
Density functional theory data (GGA-PBE) for crystalline YMn2P at its relaxed geometry.

electronic total energy	-122.4	eV per cell
calculated density	5.27	Mg/m³

Unit cell a=4.212 b=4.212 c=16.328 alpha=90.00 beta=90.00 gamma=90.00
Space group I-42d (No. 122)
One atom of each set of equivalent atoms:
Y (0.000, 0.000, 0.000)
Mn (0.065, 0.250, 0.625)
P (0.000, 0.000, 0.500)

---

2.
Density functional theory data (GGA-PBE) for crystalline LiLaEuIn at its relaxed geometry.

electronic total energy	-83.5	eV per cell
calculated density	5.61	Mg/m³

Unit cell a=7.875 b=7.875 c=7.875 alpha=90.00 beta=90.00 gamma=90.00
Space group F-43m (No. 216)
One atom of each set of equivalent atoms:
Li (0.000, 0.000, 0.000)
La (0.250, 0.250, 0.250)
Eu (0.250, 0.250, 0.750)
In (0.000, 0.000, 0.500)

---

3.
Density functional theory data (GGA-PBE) for crystalline La4MgSn2 at its relaxed geometry.

electronic total energy	-65.1	eV per cell
calculated density	5.83	Mg/m³

Unit cell a=8.746 b=10.435 c=5.103 alpha=90.00 beta=90.00 gamma=90.00
Space group Cmmm (No. 65)
One atom of each set of equivalent atoms:
La (0.230, 0.000, 0.000)
La (0.250, 0.250, 0.500)
Mg (0.000, 0.500, 0.500)
Sn (0.000, 0.269, 0.000)

---

4.
Density functional theory data (GGA-PBE) for crystalline KTeAs2 at its relaxed geometry.

formation energy without anion corrections	0.128	eV per atom
calculated density	3.74	Mg/m³

Unit cell a=8.036 b=8.036 c=8.702 alpha=90.00 beta=90.00 gamma=90.00
Space group I-42d (No. 122)
One atom of each set of equivalent atoms:
K (0.000, 0.000, 0.000)
Te (0.000, 0.000, 0.500)
As (0.178, 0.250, 0.625)

---

5.
Density functional theory data (GGA-PBE) for crystalline Mn8ReMo3 at its relaxed geometry.

electronic total energy	-119.3	eV per cell
calculated density	10.29	Mg/m³

Unit cell a=4.6921 b=4.6921 c=7.7318 alpha=90.00 beta=90.00 gamma=120.00
Space group P3m1 (No. 156)
One atom of each set of equivalent atoms:
Mn (0.0000, 0.0000, 0.0000)
Mn (0.0000, 0.0000, 0.4995)
Mn (0.1723, 0.3446, 0.7492)
Mn (0.3447, 0.1723, 0.2509)
Re (0.6667, 0.3333, 0.5671)
Mo (0.3333, 0.6667, 0.0656)
Mo (0.3333, 0.6667, 0.4369)
Mo (0.6667, 0.3333, 0.9322)

---

6.
Density functional theory data (GGA-PBE) for crystalline MnBe3Rh4 at its relaxed geometry.

electronic total energy	-53.7	eV per cell
calculated density	8.87	Mg/m³

Unit cell a=2.833 b=2.833 c=11.509 alpha=90.00 beta=90.00 gamma=90.00
Space group P4/mmm (No. 123)
One atom of each set of equivalent atoms:
Mn (0.000, 0.000, 0.000)
Be (0.000, 0.000, 0.266)
Be (0.000, 0.000, 0.500)
Rh (0.500, 0.500, 0.142)
Rh (0.500, 0.500, 0.381)

---

7.
Density functional theory data (GGA-PBE) for crystalline CsNa3Mn4Cl12 at its relaxed geometry.

formation energy without anion corrections	-1.318	eV per atom
calculated density	2.21	Mg/m³

Unit cell a=14.7394 b=14.7394 c=10.1348 alpha=90.00 beta=90.00 gamma=120.00
Space group R32 (No. 155, hexagonal axes)
One atom of each set of equivalent atoms:
Cs (0.0000, 0.0000, 0.0000)
Na (0.0000, 0.5647, 0.0000)
Mn (0.0000, 0.0000, 0.5000)
Mn (0.0000, 0.4333, 0.5000)
Cl (0.0000, 0.5881, 0.5000)
Cl (0.0000, 0.8455, 0.5000)
Cl (0.0586, 0.2389, 0.1622)

---

8.
Density functional theory data (GGA-PBE) for crystalline La4Tb8Er3 at its relaxed geometry.

electronic total energy	-130.5	eV per cell
calculated density	7.51	Mg/m³

Unit cell a=13.541 b=12.887 c=6.812 alpha=90.00 beta=119.99 gamma=90.00
Space group C2/m (No. 12)
One atom of each set of equivalent atoms:
La (0.000, 0.000, 0.000)
La (0.000, 0.000, 0.500)
La (0.250, 0.250, 0.000)
Tb (0.000, 0.256, 0.000)
Tb (0.000, 0.363, 0.500)
Tb (0.226, 0.500, 0.957)
Tb (0.232, 0.500, 0.486)
Er (0.000, 0.500, 0.000)
Er (0.250, 0.250, 0.500)